DFT (PBE-GGA) results for a relaxed structure of TlInOF2.

Cell: 4.6582 4.6582 4.1409 Å, 90.00 90.00 90.00°
Fractional coordinates of all 5 atoms:
Tl 0.0000 0.0000 0.0000
In 0.5000 0.5000 0.5000
O 0.0000 0.0000 0.5000
F 0.0000 0.5000 0.0000
F 0.5000 0.0000 0.0000

Summary:
- Space-group type: P4/mmm, No. 123
- Formation energy from raw total energies: -602 kJ/mol of formula units
- Energy above the most stable polymorph in this dataset: 560 meV per atom